Compound: Dy3Tm3Sb2Os
Source: OQMD via LeMat-Bulk
Functional: PBE
Structure: relaxed

Cell: 4.2104 8.1158 8.1158 Å, 119.98 90.00 90.00°
With the nearest neighbours (Å) after each atom.
Positions (direct):
1 Dy 0.0000 0.9998 0.3921  1 Os 3.18, 4 Sb 3.27, 4 Tm 3.48
2 Dy 0.0000 0.6071 0.6071  1 Os 3.20, 4 Sb 3.27, 4 Tm 3.49
3 Dy 0.0000 0.3921 0.9998  1 Os 3.18, 4 Sb 3.27, 4 Tm 3.48
4 Tm 0.5000 0.0000 0.7648  2 Os 2.84, 2 Sb 3.18
5 Tm 0.5000 0.2357 0.2357  2 Os 2.84, 2 Sb 3.18
6 Tm 0.5000 0.7648 0.0000  2 Os 2.84, 2 Sb 3.18
7 Os 0.0000 0.0012 0.0012  6 Tm 2.84, 2 Dy 3.18
8 Sb 0.5000 0.6666 0.3328  3 Tm 3.18, 6 Dy 3.27
9 Sb 0.5000 0.3328 0.6666  3 Tm 3.18, 6 Dy 3.27

Output
Size of the total moment, μB/f.u.: 0.0
Energy above the lowest structure with this stoichiometry, meV/atom: 0
E_tot, eV per formula unit: -52.98
Calculated volume, Å³/cell: 240

---

Compound: Dy3Tm3Sb2Os
Source: OQMD via LeMat-Bulk
Functional: PBE
Structure: relaxed

Cell: 8.1208 8.1208 4.2040 Å, 90.00 90.00 120.00°
With the nearest neighbours (Å) after each atom.
Positions (direct):
1 Dy 0.0000 0.3936 0.0000  1 Os 3.20, 4 Sb 3.27, 4 Tm 3.49
2 Dy 0.6064 0.6064 0.0000  1 Os 3.20, 4 Sb 3.27, 4 Tm 3.49
3 Dy 0.3936 0.0000 0.0000  1 Os 3.20, 4 Sb 3.27, 4 Tm 3.49
4 Os 0.0000 0.0000 0.0000  6 Tm 2.84
5 Tm 0.7653 0.0000 0.5000  2 Os 2.84
6 Tm 0.2347 0.2347 0.5000  2 Os 2.84
7 Tm 0.0000 0.7653 0.5000  2 Os 2.84
8 Sb 0.6667 0.3333 0.5000  3 Tm 3.18, 6 Dy 3.27
9 Sb 0.3333 0.6667 0.5000  3 Tm 3.18, 6 Dy 3.27

Output
Size of the total moment, μB/f.u.: 0.0
Energy above the lowest structure with this stoichiometry, meV/atom: 0
E_tot, eV per formula unit: -52.98
Calculated volume, Å³/cell: 240

---

Compound: DyY3Tm2Sb2Os
Source: OQMD via LeMat-Bulk
Functional: PBE
Structure: relaxed

Cell: 4.2170 8.1507 8.1507 Å, 120.19 90.00 90.00°
With the nearest neighbours (Å) after each atom.
Positions (direct):
1 Y 0.5000 0.3958 0.9996  1 Os 3.25, 4 Sb 3.26-3.27, 2 Tm 3.51, 2 Dy 3.52
2 Y 0.5000 0.9996 0.3958  1 Os 3.25, 4 Sb 3.26-3.27, 2 Tm 3.51, 2 Dy 3.52
3 Y 0.5000 0.6064 0.6064  1 Os 3.16, 4 Sb 3.28, 4 Tm 3.50
4 Sb 0.0000 0.3334 0.6687  2 Tm 3.18-3.19, 1 Dy 3.21, 6 Y 3.26-3.28
5 Sb 0.0000 0.6687 0.3334  2 Tm 3.18-3.19, 1 Dy 3.21, 6 Y 3.26-3.28
6 Dy 0.0000 0.2350 0.2350  2 Os 2.87, 2 Sb 3.21
7 Tm 0.0000 0.0000 0.7652  2 Os 2.84
8 Tm 0.0000 0.7652 0.0000  2 Os 2.84
9 Os 0.5000 0.9958 0.9958  4 Tm 2.84, 2 Dy 2.87, 1 Y 3.16

Output
Size of the total moment, μB/f.u.: 0.0
E_tot, eV per formula unit: -58.73
Calculated volume, Å³/cell: 242

---

Compound: Dy2Y3TmSb2Os
Source: OQMD via LeMat-Bulk
Functional: PBE
Structure: relaxed

Cell: 4.2128 8.1599 8.1599 Å, 119.72 90.00 90.00°
With the nearest neighbours (Å) after each atom.
Positions (direct):
1 Sb 0.5000 0.6643 0.3332  1 Tm 3.18, 2 Dy 3.20-3.21, 6 Y 3.26-3.29
2 Sb 0.5000 0.3332 0.6643  1 Tm 3.18, 2 Dy 3.20-3.21, 6 Y 3.26-3.29
3 Y 0.0000 0.3952 0.0005  1 Os 3.20, 4 Sb 3.27-3.29, 2 Tm 3.51, 2 Dy 3.52
4 Y 0.0000 0.6022 0.6022  4 Sb 3.26, 1 Os 3.30, 4 Dy 3.53
5 Y 0.0000 0.0005 0.3952  1 Os 3.20, 4 Sb 3.27-3.29, 2 Tm 3.51, 2 Dy 3.52
6 Os 0.0000 0.0051 0.0051  2 Tm 2.83, 4 Dy 2.87
7 Dy 0.5000 0.7640 0.9998  2 Os 2.87, 2 Sb 3.20-3.21
8 Dy 0.5000 0.9998 0.7640  2 Os 2.87, 2 Sb 3.20-3.21
9 Tm 0.5000 0.2357 0.2357  2 Os 2.83

Output
Size of the total moment, μB/f.u.: 0.0
E_tot, eV per formula unit: -58.75
Calculated volume, Å³/cell: 244

---

Compound: Dy5YSb2Os
Source: OQMD via LeMat-Bulk
Functional: PBE
Structure: relaxed

Cell: 4.2165 8.1897 8.1897 Å, 119.90 90.00 90.00°
With the nearest neighbours (Å) after each atom.
Positions (direct):
1 Sb 0.5000 0.3333 0.6666  7 Dy 3.20-3.28, 2 Y 3.28
2 Sb 0.5000 0.6666 0.3333  7 Dy 3.20-3.28, 2 Y 3.28
3 Dy 0.5000 0.0002 0.7634  2 Os 2.86, 2 Sb 3.20-3.21
4 Dy 0.0000 0.3953 0.0000  1 Os 3.24, 4 Sb 3.28, 4 Dy 3.52
5 Dy 0.0000 0.0000 0.3953  1 Os 3.24, 4 Sb 3.28, 4 Dy 3.52
6 Dy 0.5000 0.7634 0.0002  2 Os 2.86, 2 Sb 3.20-3.21
7 Dy 0.5000 0.2364 0.2364  2 Os 2.86, 2 Sb 3.20
8 Os 0.0000 0.0004 0.0004  6 Dy 2.86
9 Y 0.0000 0.6043 0.6043  1 Os 3.25, 4 Sb 3.28, 4 Dy 3.53

Output
Size of the total moment, μB/f.u.: 0.0
E_tot, eV per formula unit: -54.94
Calculated volume, Å³/cell: 245

---

Compound: Dy3Zr3Sb2Os
Source: OQMD via LeMat-Bulk
Functional: PBE
Structure: relaxed

Cell: 7.9725 7.9725 4.0291 Å, 90.00 90.00 120.00°
With the nearest neighbours (Å) after each atom.
Positions (direct):
1 Dy 0.0000 0.4001 0.0000  4 Sb 3.16, 1 Os 3.19, 4 Zr 3.43
2 Dy 0.5999 0.5999 0.0000  4 Sb 3.16, 1 Os 3.19, 4 Zr 3.43
3 Dy 0.4001 0.0000 0.0000  4 Sb 3.16, 1 Os 3.19, 4 Zr 3.43
4 Zr 0.0000 0.7655 0.5000  2 Os 2.75
5 Zr 0.2345 0.2345 0.5000  2 Os 2.75
6 Zr 0.7655 0.0000 0.5000  2 Os 2.75
7 Sb 0.3333 0.6667 0.5000  3 Zr 3.13, 6 Dy 3.16
8 Sb 0.6667 0.3333 0.5000  3 Zr 3.13, 6 Dy 3.16
9 Os 0.0000 0.0000 0.0000  6 Zr 2.75

Output
Size of the total moment, μB/f.u.: 0.1
Energy above the lowest structure with this stoichiometry, meV/atom: 0
E_tot, eV per formula unit: -64.62
Calculated volume, Å³/cell: 222

---

Compound: Dy3Zr3Sb2Os
Source: OQMD via LeMat-Bulk
Functional: PBE
Structure: relaxed

Cell: 8.0713 8.0713 3.8295 Å, 90.00 90.00 120.00°
With the nearest neighbours (Å) after each atom.
Positions (direct):
1 Dy 0.7513 0.0000 0.5000  2 Os 2.77, 2 Sb 3.09
2 Dy 0.2487 0.2487 0.5000  2 Os 2.77, 2 Sb 3.09
3 Dy 0.0000 0.7513 0.5000  2 Os 2.77, 2 Sb 3.09
4 Zr 0.3974 0.0000 0.0000  4 Sb 3.13, 1 Os 3.21, 6 Dy 3.40-3.44
5 Zr 0.6026 0.6026 0.0000  4 Sb 3.13, 1 Os 3.21, 6 Dy 3.40-3.44
6 Zr 0.0000 0.3974 0.0000  4 Sb 3.13, 1 Os 3.21, 6 Dy 3.40-3.44
7 Os 0.0000 0.0000 0.0000  6 Dy 2.77
8 Sb 0.6667 0.3333 0.5000  3 Dy 3.09, 6 Zr 3.13
9 Sb 0.3333 0.6667 0.5000  3 Dy 3.09, 6 Zr 3.13

Output
Size of the total moment, μB/f.u.: 0.1
Energy above the lowest structure with this stoichiometry, meV/atom: 191
E_tot, eV per formula unit: -62.90
Calculated volume, Å³/cell: 216

---

Compound: Dy2ZrSc3Te2Os
Source: OQMD via LeMat-Bulk
Functional: PBE
Structure: relaxed

Cell: 3.8965 7.8284 7.8284 Å, 118.25 90.00 90.00°
With the nearest neighbours (Å) after each atom.
Positions (direct):
1 Sc 0.5000 0.7622 0.7622  2 Os 2.67
2 Sc 0.5000 0.2402 0.0119  2 Os 2.71
3 Sc 0.5000 0.0119 0.2402  2 Os 2.71
4 Dy 0.0000 0.9982 0.6067  1 Os 3.03, 4 Te 3.16, 2 Sc 3.29
5 Dy 0.0000 0.6067 0.9982  1 Os 3.03, 4 Te 3.16, 2 Sc 3.29
6 Te 0.5000 0.6583 0.3375  2 Zr 3.02, 3 Sc 3.03-3.20, 4 Dy 3.16
7 Te 0.5000 0.3375 0.6583  2 Zr 3.02, 3 Sc 3.03-3.20, 4 Dy 3.16
8 Os 0.0000 0.9902 0.9902  6 Sc 2.67-2.71
9 Zr 0.0000 0.3947 0.3947  4 Te 3.02, 1 Os 3.25, 4 Sc 3.29

Output
Size of the total moment, μB/f.u.: 0.0
E_tot, eV per formula unit: -60.60
Calculated volume, Å³/cell: 210

---

Compound: Dy3ZrSc2Te2Os
Source: OQMD via LeMat-Bulk
Functional: PBE
Structure: relaxed

Cell: 3.9678 7.9891 7.9891 Å, 120.12 90.00 90.00°
With the nearest neighbours (Å) after each atom.
Positions (direct):
1 Dy 0.0000 0.6033 0.6033  4 Te 3.16, 1 Os 3.20, 4 Sc 3.39
2 Dy 0.0000 0.0010 0.3920  1 Os 3.11, 4 Te 3.16, 2 Zr 3.37, 2 Sc 3.38
3 Dy 0.0000 0.3920 0.0010  1 Os 3.11, 4 Te 3.16, 2 Zr 3.37, 2 Sc 3.38
4 Zr 0.5000 0.2341 0.2341  2 Os 2.70
5 Te 0.5000 0.6673 0.3333  2 Sc 3.13-3.14, 1 Zr 3.14, 6 Dy 3.16
6 Te 0.5000 0.3333 0.6673  2 Sc 3.13-3.14, 1 Zr 3.14, 6 Dy 3.16
7 Sc 0.5000 0.7659 0.9988  2 Os 2.73
8 Sc 0.5000 0.9988 0.7659  2 Os 2.73
9 Os 0.0000 0.0042 0.0042  2 Zr 2.70, 4 Sc 2.73

Output
Size of the total moment, μB/f.u.: 0.1
E_tot, eV per formula unit: -59.24
Calculated volume, Å³/cell: 219

---

Compound: DyZr2Sc3Te2Os
Source: OQMD via LeMat-Bulk
Functional: PBE
Structure: relaxed

Cell: 3.7976 7.8758 7.8758 Å, 121.50 90.00 90.00°
With the nearest neighbours (Å) after each atom.
Positions (direct):
1 Te 0.5000 0.3307 0.6730  3 Sc 2.98-3.09, 4 Zr 3.02-3.03, 2 Dy 3.13
2 Te 0.5000 0.6730 0.3307  3 Sc 2.98-3.09, 4 Zr 3.02-3.03, 2 Dy 3.13
3 Zr 0.0000 0.0008 0.6040  4 Te 3.02-3.03, 1 Os 3.14, 4 Sc 3.24-3.34
4 Zr 0.0000 0.6040 0.0008  4 Te 3.02-3.03, 1 Os 3.14, 4 Sc 3.24-3.34
5 Os 0.0000 0.0053 0.0053  6 Sc 2.66-2.67
6 Sc 0.5000 0.2354 0.9927  2 Os 2.66, 1 Te 2.98
7 Sc 0.5000 0.9927 0.2354  2 Os 2.66, 1 Te 2.98
8 Sc 0.5000 0.7614 0.7614  2 Os 2.67
9 Dy 0.0000 0.3966 0.3966  1 Os 3.01, 4 Te 3.13, 4 Sc 3.33

Output
Size of the total moment, μB/f.u.: 0.0
E_tot, eV per formula unit: -63.98
Calculated volume, Å³/cell: 201

---

Compound: Dy7Os2Se2
Source: OQMD via LeMat-Bulk
Functional: PBE
Structure: relaxed

Cell: 9.0814 9.0814 9.0814 Å, 154.94 66.48 119.55°
With the nearest neighbours (Å) after each atom.
Positions (direct):
1 Dy 0.4233 0.1061 0.3173  3 Os 2.80-3.02, 1 Se 3.02
2 Dy 0.0902 0.7346 0.3555  2 Os 2.91, 2 Se 3.06
3 Dy 0.3791 0.7346 0.6445  2 Os 2.91, 2 Se 3.06
4 Dy 0.4768 0.4768 0.0000  3 Se 3.04-3.08
5 Dy 0.0209 0.8948 0.1261  2 Os 2.85, 3 Se 2.98-3.11
6 Dy 0.7888 0.1061 0.6827  3 Os 2.80-3.02, 1 Se 3.02
7 Dy 0.7686 0.8948 0.8738  2 Os 2.85, 3 Se 2.98-3.11
8 Se 0.7361 0.2361 0.5000  8 Dy 3.02-3.11
9 Se 0.1439 0.1439 0.0000  7 Dy 2.98-3.06
10 Os 0.1704 0.4092 0.7613  7 Dy 2.80-3.02
11 Os 0.6479 0.4092 0.2387  7 Dy 2.80-3.02

Output
Size of the total moment, μB/f.u.: 0.6
E_tot, eV per formula unit: -70.37
Calculated volume, Å³/cell: 274

---

Compound: SmDySi4Os2
Source: OQMD via LeMat-Bulk
Functional: PBE
Structure: relaxed

Cell: 4.4426 4.1084 8.1663 Å, 90.00 101.83 90.00°
With the nearest neighbours (Å) after each atom.
Positions (direct):
1 Os 0.1147 0.0000 0.8840  5 Si 2.35-2.42
2 Os 0.8824 0.5000 0.1141  5 Si 2.36-2.42
3 Si 0.0373 0.0000 0.5903  1 Os 2.35, 2 Si 2.51
4 Si 0.3345 0.5000 0.0041  4 Os 2.36-2.42, 2 Si 2.53
5 Si 0.9623 0.5000 0.4099  1 Os 2.37, 2 Si 2.51
6 Si 0.6630 0.0000 0.9932  4 Os 2.36-2.42, 2 Si 2.53
7 Dy 0.5925 0.5000 0.7046  8 Si 2.91-3.20, 2 Os 3.22
8 Sm 0.4133 0.0000 0.2999  9 Si 2.94-3.26, 2 Os 3.26

Output
Size of the total moment, μB/f.u.: 0.0
E_tot, eV per formula unit: -59.38
Calculated volume, Å³/cell: 146